No. 1
The following is a PBE-GGA calculation of a geometry-optimized PrUAs structure, from OQMD.

a b c (Å): 7.001 7.001 7.001
angles (deg): 90.00 90.00 90.00
Space group F-43m (No. 216)
One atom of each set of equivalent atoms:
Pr: 0.000 0.000 0.000 x4
U: 0.000 0.000 0.500 x4
As: 0.250 0.250 0.250 x4

## Properties
* E: -7.04 eV per atom
* M_tot: 3.8 μB per formula unit

***

No. 2
The following is a PBE-GGA calculation of a geometry-optimized Tb2Al2NiPt3 structure, from OQMD.

a b c (Å): 4.3080 4.3080 9.2063
angles (deg): 90.00 90.00 120.00
Space group P3m1 (No. 156)
One atom of each set of equivalent atoms:
Tb: 0.0000 0.0000 0.0000 x1
Tb: 0.3333 0.6667 0.5068 x1
Al: 0.6667 0.3333 0.2520 x1
Al: 0.6667 0.3333 0.7553 x1
Ni: 0.3333 0.6667 0.8270 x1
Pt: 0.0000 0.0000 0.3348 x1
Pt: 0.0000 0.0000 0.6851 x1
Pt: 0.3333 0.6667 0.1645 x1

## Properties
* E: -6.10 eV per atom
* M_tot: 0.0 μB per formula unit

***

No. 3
The following is a PBE-GGA calculation of a geometry-optimized CsPr2CuTe3S structure, from OQMD.

a b c (Å): 4.378 15.531 15.776
angles (deg): 90.00 90.00 90.00
Space group Cmcm (No. 63)
One atom of each set of equivalent atoms:
Cs: 0.000 0.117 0.250 x4
Pr: 0.000 0.380 0.057 x8
Cu: 0.000 0.162 0.750 x4
Te: 0.000 0.257 0.610 x8
Te: 0.000 0.432 0.250 x4
S: 0.000 0.000 0.000 x4

## Properties
* E: -4.69 eV per atom
* M_tot: 0.0 μB per formula unit